# CoSb3F

A relaxed structure of CoSb3F (PBE with a Hubbard U, the Alexandria database).

a b c (Å): 4.9054 4.9054 4.9054
angles (deg): 90.00 90.00 90.00
Closest atoms and distances in Å follow each position.
Element x y z (fractional)
Sb  0.0000  0.5000  0.0000  2 Co 2.45
Sb  0.0000  0.0000  0.5000  2 Co 2.45
Sb  0.5000  0.0000  0.0000  2 Co 2.45
Co  0.0000  0.0000  0.0000  6 Sb 2.45
F  0.5000  0.5000  0.5000  12 Sb 3.47

- DOS at the Fermi energy (states/eV/cell) = 4.7
- final energy (eV for the cell shown) = -18.56
- density (Mg/m³) = 6.2